Material: Tm8Al2Tl
Method: DFT, PBE
State: optimized geometry Values from VASP.

```
&SYSTEM
  ibrav = 0, nat = 11, ntyp = 3
/
ATOMIC_SPECIES
Tm 168.93 Tm.upf
Al 26.98 Al.upf
Tl 204.38 Tl.upf
CELL_PARAMETERS angstrom
-2.4675 4.1436 7.2375
2.4675 -4.1436 7.2375
2.4675 4.1436 -7.2375
ATOMIC_POSITIONS angstrom
Tm 2.4675 2.3833 -2.3284
Tm 0.0000 0.0000 2.1202
Tm 0.0000 2.5746 0.0000
Tm 2.4675 2.3833 2.3284
Tm 0.0000 1.7603 4.9090
Tm 0.0000 5.7125 0.0000
Tm 0.0000 0.0000 12.3547
Tm 0.0000 1.7603 9.5659
Al 2.4675 0.0000 4.4297
Al 0.0000 4.1436 2.8077
Tl 2.4675 0.0000 0.0000
```

Calculated values
Relative energy among the computed polymorphs   0 meV/atom
E_tot   -4.290 eV per atom
ρ   9.03 Mg/m³
Total magnetic moment   0.00 μB per cell
Calculated volume   296 Å³/cell